Here is KTlGa2Pd after structural relaxation from Alexandria via LeMat-Bulk. Energies are from PBE-GGA.

Properties
Density of states at the Fermi level, states/eV per atom: 0.554
Final energy, eV for the cell shown: -15.26
Size of the total moment, μB per cell: 0.00
Mass density, g/cm3: 5.94
Energy relative to the elements, kJ/mol of atoms: -10.6
Space group: No. 123

Cell lengths 4.9744, 4.9744, 5.5279 Å; angles 90.00, 90.00, 90.00 degrees
Closest atoms and distances in Å follow each position.
Fractional coordinates of all 5 atoms:
K 0.0000 0.0000 0.0000  4 Tl 3.52, 8 Ga 3.72
Tl 0.5000 0.5000 0.0000  2 Pd 2.76
Ga 0.0000 0.5000 0.5000  2 Pd 2.49
Ga 0.5000 0.0000 0.5000  2 Pd 2.49
Pd 0.5000 0.5000 0.5000  4 Ga 2.49, 2 Tl 2.76

Here is KTl2GaPd after structural relaxation from Alexandria via LeMat-Bulk. Energies are from PBE-GGA.

Properties
Density of states at the Fermi level, states/eV per atom: 0.613
Final energy, eV for the cell shown: -14.52
Size of the total moment, μB per cell: 0.00
Mass density, g/cm3: 6.92
Energy relative to the elements, kJ/mol of atoms: -9.0
Space group: No. 123

Cell lengths 5.4783, 5.4783, 4.9884 Å; angles 90.00, 90.00, 90.00 degrees
Closest atoms and distances in Å follow each position.
Fractional coordinates of all 5 atoms:
K 0.0000 0.0000 0.0000  8 Tl 3.70, 4 Ga 3.87
Tl 0.0000 0.5000 0.5000  2 Pd 2.74
Tl 0.5000 0.0000 0.5000  2 Pd 2.74
Ga 0.5000 0.5000 0.0000  2 Pd 2.49
Pd 0.5000 0.5000 0.5000  2 Ga 2.49, 4 Tl 2.74

Here is KZn2GaPd after structural relaxation from Alexandria via LeMat-Bulk. Energies are from PBE-GGA.

Properties
Density of states at the Fermi level, states/eV per atom: 0.345
Final energy, eV for the cell shown: -12.77
Size of the total moment, μB per cell: 0.00
Mass density, g/cm3: 4.78
Energy relative to the elements, kJ/mol of atoms: -17.4
Space group: No. 123

Cell lengths 4.9861, 4.9861, 4.8379 Å; angles 90.00, 90.00, 90.00 degrees
Closest atoms and distances in Å follow each position.
Fractional coordinates of all 5 atoms:
K 0.0000 0.0000 0.0000  8 Zn 3.47, 4 Ga 3.53
Zn 0.0000 0.5000 0.5000  2 Pd 2.49
Zn 0.5000 0.0000 0.5000  2 Pd 2.49
Ga 0.5000 0.5000 0.0000  2 Pd 2.42
Pd 0.5000 0.5000 0.5000  2 Ga 2.42, 4 Zn 2.49

Here is KZrGaPd2 after structural relaxation from Alexandria via LeMat-Bulk. Energies are from PBE-GGA.

Properties
Density of states at the Fermi level, states/eV per atom: 0.897
Final energy, eV for the cell shown: -21.52
Size of the total moment, μB per cell: 0.00
Mass density, g/cm3: 4.87
Energy relative to the elements, kJ/mol of atoms: 29.8
Space group: No. 123

Cell lengths 5.0914, 5.0914, 5.4257 Å; angles 90.00, 90.00, 90.00 degrees
Closest atoms and distances in Å follow each position.
Fractional coordinates of all 5 atoms:
K 0.0000 0.0000 0.0000  4 Ga 3.60, 8 Pd 3.72
Zr 0.5000 0.5000 0.5000  4 Pd 2.55, 2 Ga 2.71
Ga 0.5000 0.5000 0.0000  2 Zr 2.71
Pd 0.0000 0.5000 0.5000  2 Zr 2.55
Pd 0.5000 0.0000 0.5000  2 Zr 2.55

Here is KPmGa after structural relaxation from Alexandria via LeMat-Bulk. Energies are from PBE-GGA.

Properties
Density of states at the Fermi level, states/eV per atom: 0.656
Final energy, eV for the cell shown: -19.02
Size of the total moment, μB per cell: 0.00
Mass density, g/cm3: 3.39
Energy relative to the elements, kJ/mol of atoms: -20.5
Space group: No. 63

Cell lengths 14.3318, 14.3318, 4.2135 Å; angles 90.00, 90.00, 163.31 degrees
Closest atoms and distances in Å follow each position.
Fractional coordinates of all 6 atoms:
K 0.1843 0.8157 0.7500  4 K 4.16-4.21, 2 Pm 4.21
K 0.8157 0.1843 0.2500  4 K 4.16-4.21, 2 Pm 4.21
Pm 0.0558 0.9442 0.2500  6 Ga 3.06-3.17
Pm 0.9442 0.0558 0.7500  6 Ga 3.06-3.17
Ga 0.4717 0.5283 0.2500  2 Ga 2.65
Ga 0.5283 0.4717 0.7500  2 Ga 2.65

Here is KPmGa4 after structural relaxation from Alexandria via LeMat-Bulk. Energies are from PBE-GGA.

Properties
Density of states at the Fermi level, states/eV per atom: 0.655
Final energy, eV for the cell shown: -19.45
Size of the total moment, μB per cell: 0.00
Mass density, g/cm3: 5.83
Energy relative to the elements, kJ/mol of atoms: -24.0
Space group: No. 216

Cell lengths 5.7132, 5.7132, 5.7132 Å; angles 60.00, 60.00, 60.00 degrees
Closest atoms and distances in Å follow each position.
Fractional coordinates of all 6 atoms:
K 0.0000 0.0000 0.0000  12 Ga 3.35, 4 Pm 3.50
Pm 0.2500 0.2500 0.2500  12 Ga 3.35, 4 K 3.50
Ga 0.1269 0.6244 0.6244  6 Ga 2.84-2.87
Ga 0.6244 0.1269 0.6244  6 Ga 2.84-2.87
Ga 0.6244 0.6244 0.1269  6 Ga 2.84-2.87
Ga 0.6244 0.6244 0.6244  6 Ga 2.84-2.87

> What is the formula in the sixth record?

KPmGa4